Density functional theory data (GGA+U) for CrP2PdF after structural relaxation.

The space group is P4/mmm (No. 123) and the conventional cell measures 4.4396, 4.4396 and 5.3445 Å, with angles of 90.00, 90.00 and 90.00 degrees. Symmetry generates all atoms from Cr at (0.0000, 0.0000, 0.0000), P at (0.0000, 0.5000, 0.5000), Pd at (0.0000, 0.0000, 0.5000) and F at (0.5000, 0.5000, 0.0000).

As for the magnetic moment: 0.9 μB per cell. For the density of states at the Fermi level, the calculation gives 2.978 states/eV per atom. The total energy comes out at -3.9440 eV/atom.